The following is a DFT calculation (PBE-GGA) of a relaxed LaTaCu4 crystal.

The structure in POSCAR format:
```
LaTaCu4
1.0
0.9566 -5.0193 -0.6128
-3.7527 -3.1649 -1.5442
0.1327 -2.0362 -4.7245
Cu Ta La
4 1 1
direct
0.3734 0.8798 0.3734
0.3734 0.3734 0.3734
0.8798 0.3734 0.3734
0.3734 0.3734 0.8798
0.0000 0.0000 0.0000
0.7500 0.7500 0.7500
```

- Raw total energy: -5.316 eV/atom
- Energy of formation: 212 meV per atom
- V: 96.4 Å³ per cell